Record 1
Crystalline Tb2SmEr2Tm at its relaxed geometry, computed with PBE. Values from VASP.

Structure (Quantum ESPRESSO input):
```
&SYSTEM
  ibrav = 0, nat = 12, ntyp = 4
/
ATOMIC_SPECIES
Tb 158.93 Tb.upf
Sm 150.36 Sm.upf
Er 167.26 Er.upf
Tm 168.93 Tm.upf
ATOMIC_POSITIONS crystal
Tb 0.168 0.157 0.000
Tb 0.332 0.657 0.500
Tb 0.668 0.343 0.500
Tb 0.832 0.843 0.000
Sm 0.000 0.000 0.500
Sm 0.500 0.500 0.000
Er 0.167 0.343 0.000
Er 0.333 0.843 0.500
Er 0.667 0.157 0.500
Er 0.833 0.657 0.000
Tm 0.000 0.500 0.500
Tm 0.500 0.000 0.000
CELL_PARAMETERS angstrom
6.044 0.000 0.000
0.000 18.096 0.000
0.000 0.000 3.505
```

Properties
V (Å³ per cell): 383.30
Energy of formation (eV/atom): 0.107
SG: Pnnm, No. 58

***

Record 2
Crystalline Tb3SmEr2Tm6 at its relaxed geometry, computed with PBE. Values from VASP.

Structure (Quantum ESPRESSO input):
```
&SYSTEM
  ibrav = 0, nat = 12, ntyp = 4
/
ATOMIC_SPECIES
Tb 158.93 Tb.upf
Sm 150.36 Sm.upf
Er 167.26 Er.upf
Tm 168.93 Tm.upf
ATOMIC_POSITIONS crystal
Tb 0.000 0.000 0.000
Tb 0.333 0.667 0.000
Tb 0.667 0.333 0.000
Sm 0.500 0.500 0.500
Er 0.167 0.833 0.500
Er 0.833 0.167 0.500
Tm 0.082 0.416 0.250
Tm 0.250 0.250 0.750
Tm 0.416 0.082 0.250
Tm 0.584 0.918 0.750
Tm 0.750 0.750 0.250
Tm 0.918 0.584 0.750
CELL_PARAMETERS angstrom
3.050 -5.277 0.000
3.050 5.277 0.000
-2.025 0.000 11.462
```

Properties
V (Å³ per cell): 368.90
Energy of formation (eV/atom): 0.022
SG: C2/m, No. 12

***

Record 3
Crystalline Tb6Sm2ErTm3 at its relaxed geometry, computed with PBE. Values from VASP.

Structure (Quantum ESPRESSO input):
```
&SYSTEM
  ibrav = 0, nat = 12, ntyp = 4
/
ATOMIC_SPECIES
Tb 158.93 Tb.upf
Sm 150.36 Sm.upf
Er 167.26 Er.upf
Tm 168.93 Tm.upf
ATOMIC_POSITIONS crystal
Tb 0.085 0.418 0.753
Tb 0.248 0.248 0.247
Tb 0.418 0.085 0.753
Tb 0.582 0.915 0.247
Tb 0.752 0.752 0.753
Tb 0.915 0.582 0.247
Sm 0.333 0.667 0.500
Sm 0.667 0.333 0.500
Er 0.000 0.000 0.500
Tm 0.166 0.834 0.000
Tm 0.500 0.500 0.000
Tm 0.834 0.166 0.000
CELL_PARAMETERS angstrom
3.074 -5.320 0.000
3.074 5.320 0.000
-2.040 0.000 11.574
```

Properties
V (Å³ per cell): 378.50
Energy of formation (eV/atom): 0.018
SG: C2/m, No. 12

***

Record 4
Crystalline TbSm2Er6Tm3 at its relaxed geometry, computed with PBE. Values from VASP.

Structure (Quantum ESPRESSO input):
```
&SYSTEM
  ibrav = 0, nat = 12, ntyp = 4
/
ATOMIC_SPECIES
Tb 158.93 Tb.upf
Sm 150.36 Sm.upf
Er 167.26 Er.upf
Tm 168.93 Tm.upf
ATOMIC_POSITIONS crystal
Tb 0.000 0.000 0.000
Sm 0.333 0.667 0.000
Sm 0.667 0.333 0.000
Er 0.085 0.418 0.253
Er 0.248 0.248 0.747
Er 0.418 0.085 0.253
Er 0.582 0.915 0.747
Er 0.752 0.752 0.253
Er 0.915 0.582 0.747
Tm 0.167 0.833 0.500
Tm 0.500 0.500 0.500
Tm 0.833 0.167 0.500
CELL_PARAMETERS angstrom
3.056 -5.286 0.000
3.056 5.286 0.000
-2.031 0.000 11.493
```

Properties
V (Å³ per cell): 371.25
Energy of formation (eV/atom): 0.022
SG: C2/m, No. 12

***

Record 5
Crystalline Tb2Sm2Er4Tm at its relaxed geometry, computed with PBE. Values from VASP.

Structure (Quantum ESPRESSO input):
```
&SYSTEM
  ibrav = 0, nat = 9, ntyp = 4
/
ATOMIC_SPECIES
Tb 158.93 Tb.upf
Sm 150.36 Sm.upf
Er 167.26 Er.upf
Tm 168.93 Tm.upf
ATOMIC_POSITIONS crystal
Tb 0.147 0.147 0.164
Tb 0.853 0.853 0.836
Sm 0.335 0.335 0.500
Sm 0.665 0.665 0.500
Er 0.185 0.185 0.836
Er 0.481 0.481 0.166
Er 0.519 0.519 0.834
Er 0.815 0.815 0.164
Tm 0.000 0.000 0.500
CELL_PARAMETERS angstrom
9.276 -1.786 0.000
9.276 1.786 0.000
-4.125 0.000 8.557
```

Properties
V (Å³ per cell): 283.54
Energy of formation (eV/atom): -0.001
SG: C2/m, No. 12

***

Record 6
Crystalline TbSmEr5Tm2 at its relaxed geometry, computed with PBE. Values from VASP.

Structure (Quantum ESPRESSO input):
```
&SYSTEM
  ibrav = 0, nat = 18, ntyp = 4
/
ATOMIC_SPECIES
Tb 158.93 Tb.upf
Sm 150.36 Sm.upf
Er 167.26 Er.upf
Tm 168.93 Tm.upf
ATOMIC_POSITIONS crystal
Tb 0.200 0.800 0.500
Tb 0.800 0.200 0.000
Sm 0.416 0.584 0.940
Sm 0.584 0.416 0.440
Er 0.018 0.982 0.514
Er 0.281 0.719 0.798
Er 0.299 0.701 0.197
Er 0.390 0.610 0.511
Er 0.478 0.522 0.224
Er 0.522 0.478 0.724
Er 0.610 0.390 0.011
Er 0.701 0.299 0.697
Er 0.719 0.281 0.298
Er 0.982 0.018 0.014
Tm 0.110 0.890 0.225
Tm 0.113 0.887 0.807
Tm 0.887 0.113 0.307
Tm 0.890 0.110 0.725
CELL_PARAMETERS angstrom
2.775 -9.827 0.000
2.775 9.827 0.000
0.000 0.000 10.485
```

Properties
V (Å³ per cell): 571.74
Energy of formation (eV/atom): 0.164
SG: Cmc2_1, No. 36

***

Record 7
Crystalline Tb2Sm3ErTm6 at its relaxed geometry, computed with PBE. Values from VASP.

Structure (Quantum ESPRESSO input):
```
&SYSTEM
  ibrav = 0, nat = 12, ntyp = 4
/
ATOMIC_SPECIES
Tb 158.93 Tb.upf
Sm 150.36 Sm.upf
Er 167.26 Er.upf
Tm 168.93 Tm.upf
ATOMIC_POSITIONS crystal
Tb 0.167 0.833 0.000
Tb 0.833 0.167 0.000
Sm 0.000 0.000 0.500
Sm 0.333 0.667 0.500
Sm 0.667 0.333 0.500
Er 0.500 0.500 0.000
Tm 0.084 0.417 0.752
Tm 0.250 0.250 0.248
Tm 0.417 0.084 0.752
Tm 0.583 0.916 0.248
Tm 0.750 0.750 0.752
Tm 0.916 0.583 0.248
CELL_PARAMETERS angstrom
3.066 -5.307 0.000
3.066 5.307 0.000
-2.037 0.000 11.482
```

Properties
V (Å³ per cell): 373.69
Energy of formation (eV/atom): 0.021
SG: C2/m, No. 12

***

Record 8
Crystalline TbSm3ErTm at its relaxed geometry, computed with PBE. Values from VASP.

Structure (Quantum ESPRESSO input):
```
&SYSTEM
  ibrav = 0, nat = 12, ntyp = 4
/
ATOMIC_SPECIES
Tb 158.93 Tb.upf
Sm 150.36 Sm.upf
Er 167.26 Er.upf
Tm 168.93 Tm.upf
ATOMIC_POSITIONS crystal
Tb 0.000 0.000 0.000
Tb 0.000 0.000 0.500
Sm 0.111 0.889 0.750
Sm 0.333 0.667 0.502
Sm 0.333 0.667 0.998
Sm 0.667 0.333 0.002
Sm 0.667 0.333 0.498
Sm 0.889 0.111 0.250
Er 0.444 0.556 0.750
Er 0.556 0.444 0.250
Tm 0.221 0.779 0.250
Tm 0.779 0.221 0.750
CELL_PARAMETERS angstrom
1.795 -9.298 0.000
1.795 9.298 0.000
0.000 0.000 11.565
```

Properties
V (Å³ per cell): 386.03
Energy of formation (eV/atom): 0.001
SG: Cmcm, No. 63

***

Record 9
Crystalline TbSm2ErTm at its relaxed geometry, computed with PBE. Values from VASP.

Structure (Quantum ESPRESSO input):
```
&SYSTEM
  ibrav = 0, nat = 10, ntyp = 4
/
ATOMIC_SPECIES
Tb 158.93 Tb.upf
Sm 150.36 Sm.upf
Er 167.26 Er.upf
Tm 168.93 Tm.upf
ATOMIC_POSITIONS crystal
Tb 0.226 0.774 0.750
Tb 0.774 0.226 0.250
Sm 0.194 0.194 0.000
Sm 0.194 0.194 0.500
Sm 0.806 0.806 0.000
Sm 0.806 0.806 0.500
Er 0.227 0.773 0.250
Er 0.773 0.227 0.750
Tm 0.498 0.502 0.750
Tm 0.502 0.498 0.250
CELL_PARAMETERS angstrom
4.192 -5.715 0.000
4.192 5.715 0.000
0.000 0.000 7.232
```

Properties
V (Å³ per cell): 346.47
Energy of formation (eV/atom): 0.413
SG: Cmcm, No. 63

***

Record 10
Crystalline TbSm2ErTm6 at its relaxed geometry, computed with PBE. Values from VASP.

Structure (Quantum ESPRESSO input):
```
&SYSTEM
  ibrav = 0, nat = 20, ntyp = 4
/
ATOMIC_SPECIES
Tb 158.93 Tb.upf
Sm 150.36 Sm.upf
Er 167.26 Er.upf
Tm 168.93 Tm.upf
ATOMIC_POSITIONS crystal
Tb 0.020 0.980 0.750
Tb 0.980 0.020 0.250
Sm 0.195 0.299 0.544
Sm 0.299 0.195 0.044
Sm 0.701 0.805 0.956
Sm 0.805 0.701 0.456
Er 0.407 0.593 0.250
Er 0.593 0.407 0.750
Tm 0.022 0.574 0.686
Tm 0.126 0.745 0.058
Tm 0.255 0.874 0.442
Tm 0.291 0.504 0.881
Tm 0.426 0.978 0.814
Tm 0.496 0.709 0.619
Tm 0.504 0.291 0.381
Tm 0.574 0.022 0.186
Tm 0.709 0.496 0.119
Tm 0.745 0.126 0.558
Tm 0.874 0.255 0.942
Tm 0.978 0.426 0.314
CELL_PARAMETERS angstrom
4.465 -7.447 0.000
4.465 7.447 0.000
-1.430 0.000 9.436
```

Properties
V (Å³ per cell): 627.55
Energy of formation (eV/atom): 0.119
SG: C2/c, No. 15

***

Record 11
Crystalline TbSm3Er6Tm2 at its relaxed geometry, computed with PBE. Values from VASP.

Structure (Quantum ESPRESSO input):
```
&SYSTEM
  ibrav = 0, nat = 12, ntyp = 4
/
ATOMIC_SPECIES
Tb 158.93 Tb.upf
Sm 150.36 Sm.upf
Er 167.26 Er.upf
Tm 168.93 Tm.upf
ATOMIC_POSITIONS crystal
Tb 0.000 0.000 0.000
Sm 0.167 0.833 0.500
Sm 0.500 0.500 0.500
Sm 0.833 0.167 0.500
Er 0.082 0.416 0.247
Er 0.251 0.251 0.753
Er 0.416 0.082 0.247
Er 0.584 0.918 0.753
Er 0.749 0.749 0.247
Er 0.918 0.584 0.753
Tm 0.333 0.667 0.000
Tm 0.667 0.333 0.000
CELL_PARAMETERS angstrom
3.066 -5.305 0.000
3.066 5.305 0.000
-2.037 0.000 11.521
```

Properties
V (Å³ per cell): 374.77
Energy of formation (eV/atom): 0.021
SG: C2/m, No. 12

***

Record 12
Crystalline TbSm6ErTm2 at its relaxed geometry, computed with PBE. Values from VASP.

Structure (Quantum ESPRESSO input):
```
&SYSTEM
  ibrav = 0, nat = 20, ntyp = 4
/
ATOMIC_SPECIES
Tb 158.93 Tb.upf
Sm 150.36 Sm.upf
Er 167.26 Er.upf
Tm 168.93 Tm.upf
ATOMIC_POSITIONS crystal
Tb 0.028 0.972 0.750
Tb 0.972 0.028 0.250
Sm 0.011 0.563 0.685
Sm 0.118 0.760 0.054
Sm 0.240 0.882 0.446
Sm 0.292 0.511 0.882
Sm 0.437 0.989 0.815
Sm 0.489 0.708 0.618
Sm 0.511 0.292 0.382
Sm 0.563 0.011 0.185
Sm 0.708 0.489 0.118
Sm 0.760 0.118 0.554
Sm 0.882 0.240 0.946
Sm 0.989 0.437 0.315
Er 0.410 0.590 0.250
Er 0.590 0.410 0.750
Tm 0.201 0.301 0.546
Tm 0.301 0.201 0.046
Tm 0.699 0.799 0.954
Tm 0.799 0.699 0.454
CELL_PARAMETERS angstrom
4.590 -7.568 0.000
4.590 7.568 0.000
-1.186 0.000 9.471
```

Properties
V (Å³ per cell): 657.98
Energy of formation (eV/atom): 0.119
SG: C2/c, No. 15